## 1
Here is a relaxed structure of Nd3Mg2Ag3 from Alexandria via LeMat-Bulk. Energies are from PBE-GGA.

## Properties
Density of states at the Fermi level ... 13.54 states/eV per cell
Magnetic moment ... 0.0 μB per cell

POSCAR file:
```
Nd3Mg2Ag3
1.0
8.863 0.000 0.000
-4.431 7.675 0.000
0.000 0.000 5.969
Nd Mg Ag
6 4 6
Direct
0.000 0.253 0.250
0.000 0.747 0.750
0.253 0.000 0.250
0.253 0.253 0.750
0.747 0.000 0.750
0.747 0.747 0.250
0.333 0.667 0.000
0.333 0.667 0.500
0.667 0.333 0.000
0.667 0.333 0.500
0.000 0.404 0.750
0.000 0.596 0.250
0.404 0.000 0.750
0.404 0.404 0.250
0.596 0.000 0.250
0.596 0.596 0.750
```

## 2
Here is a relaxed structure of Nd3Mg2Ag3 from Alexandria via LeMat-Bulk. Energies are from PBE-GGA.

## Properties
Density of states at the Fermi level ... 5.28 states/eV per cell
Magnetic moment ... 0.0 μB per cell

POSCAR file:
```
Nd3Mg2Ag3
1.0
-1.800 2.697 10.590
1.800 -2.697 10.590
1.800 2.697 -10.590
Nd Mg Ag
3 2 3
Direct
0.000 0.000 0.000
0.374 0.874 0.500
0.626 0.126 0.500
0.234 0.234 0.000
0.766 0.766 0.000
0.129 0.629 0.500
0.500 0.500 0.000
0.871 0.371 0.500
```

Short version: 1 is the most stable of them.